VASP calculation (PBE-GGA) on a relaxed structure of ScPC3. Values from VASP.

M_tot   0.00 μB per formula unit
Energy relative to the elements   1.19 eV/atom
E_tot   -6.69 eV/atom
Energy above the most stable polymorph in this dataset   0.000 eV per atom
Density of states at the Fermi level   2.65 states/eV/f.u.

```
&SYSTEM
  ibrav = 0, nat = 5, ntyp = 3
/
ATOMIC_SPECIES
P 30.97 P.upf
C 12.01 C.upf
Sc 44.96 Sc.upf
CELL_PARAMETERS angstrom
-2.9455 1.5301 -1.5370
-0.8223 -3.1866 -1.5966
-2.0069 -0.9401 2.9100
ATOMIC_POSITIONS crystal
P 0.0000 0.0000 0.0000
C 0.0000 0.0000 0.5000
Sc 0.5000 0.5000 0.5000
C 0.5000 0.0000 0.0000
C 0.0000 0.5000 0.0000
```